1.
15
Lattice="0.228 3.776 -0.436 -2.189 2.296 2.106 10.210 2.599 11.223" Properties=species:S:1:pos:R:3 comment="Ce4CrO10 GGA+U optimized geometry" volume_a3_per_atom=12.8 total_energy_ev_per_cell=-125.6 sg="R-3m, No. 166" crystal_system=trigonal dos_ef_per_ev_atom=0.076 pbc="T T T"
O 1.921 2.160 3.085
O 6.328 6.510 9.808
O 2.901 6.329 6.444
O 8.789 2.524 9.828
O 2.405 4.244 4.758
O 5.348 2.342 6.449
O -1.013 4.063 1.402
O -0.541 6.147 3.065
O 9.262 4.608 11.491
O 5.844 4.426 8.135
Ce 7.557 4.517 9.817
Ce 0.692 4.153 3.076
Ce 3.634 2.251 4.767
Ce 4.615 6.420 8.126
Cr 0.000 0.000 0.000

2.
12
Lattice="4.709 -0.033 -0.003 0.006 4.706 -0.005 0.004 0.007 6.439" Properties=species:S:1:pos:R:3 comment="CeCr2OsO8 GGA+U optimized geometry" volume_a3_per_atom=11.9 total_energy_ev_per_cell=-94.7 sg="Cmmm, No. 65" crystal_system=orthorhombic dos_ef_per_ev_atom=0.288 pbc="T T T"
Cr 2.359 2.338 1.564
Cr 2.361 2.342 4.867
O 3.327 3.302 -0.006
O 0.963 3.745 5.054
O 0.960 3.741 1.375
O 3.757 0.935 1.377
O 1.518 1.500 3.217
O 3.759 0.939 5.055
O 1.392 1.378 6.437
O 3.201 3.180 3.214
Ce 0.002 0.004 3.220
Os 0.000 0.000 0.000

3.
12
Lattice="-1.801 2.068 -4.376 -3.185 -0.780 3.989 1.224 5.343 2.021" Properties=species:S:1:pos:R:3 comment="CeCr2PO8 GGA+U optimized geometry" volume_a3_per_atom=11.2 total_energy_ev_per_cell=-86.7 sg="P-3m1, No. 164" crystal_system=trigonal dos_ef_per_ev_atom=0.459 pbc="T T T"
P 0.000 0.000 0.000
O -1.090 0.958 0.901
O -3.713 1.636 0.698
O -2.765 0.548 3.000
O -2.673 5.673 0.734
O -0.997 6.083 -1.365
O -1.934 3.619 2.506
O -0.049 4.995 0.937
O -1.829 3.012 -0.871
Cr -1.580 5.163 3.090
Cr -2.182 1.467 -1.455
Ce 0.612 2.671 1.011

4.
12
Lattice="4.999 0.000 0.000 -2.500 4.330 0.000 0.000 0.000 6.887" Properties=species:S:1:pos:R:3 comment="CeCrP2O8 GGA+U optimized geometry" volume_a3_per_atom=12.4 total_energy_ev_per_cell=-93.8 sg="P-3, No. 147" crystal_system=trigonal dos_ef_per_ev_atom=0.552 pbc="T T T"
O -1.051 3.925 4.749
O 1.074 1.053 2.138
O 0.000 2.886 6.751
O 1.425 3.277 4.749
O 2.500 1.443 0.137
O 2.874 2.873 2.138
O -0.374 1.457 4.749
O 3.550 0.404 2.138
P 0.000 2.886 5.210
P 2.500 1.443 1.677
Ce 0.000 0.000 0.000
Cr 0.000 0.000 3.444

5.
12
Lattice="5.171 0.000 0.000 0.000 5.171 0.000 -2.585 -2.585 5.580" Properties=species:S:1:pos:R:3 comment="CePaCr2O8 GGA+U optimized geometry" volume_a3_per_atom=12.4 total_energy_ev_per_cell=-100.5 sg="I-4, No. 82" crystal_system=tetragonal dos_ef_per_ev_atom=0.443 pbc="T T T"
Ce 2.585 0.000 2.790
Cr 2.585 2.585 0.000
Cr 0.000 2.585 2.790
Pa 0.000 0.000 0.000
O 1.300 1.715 3.737
O 1.659 1.165 0.894
O 0.870 3.885 1.844
O -1.300 -1.715 3.737
O 3.512 4.005 0.894
O 1.420 -0.926 4.686
O 4.300 1.286 1.844
O -1.420 0.926 4.686

6.
12
Lattice="-1.580 -5.525 -0.574 3.367 1.597 4.411 -5.852 1.257 4.012" Properties=species:S:1:pos:R:3 comment="CeCr2PbO8 GGA+U optimized geometry" volume_a3_per_atom=17.3 total_energy_ev_per_cell=-84.9 sg="P-3m1, No. 164" crystal_system=trigonal dos_ef_per_ev_atom=0.778 pbc="T T T"
Cr -1.163 -2.886 1.932
Cr -2.902 0.215 5.917
O -5.681 -1.916 5.030
O -1.656 -1.227 1.712
O 1.616 -0.755 2.820
O -0.774 -3.176 3.609
O -1.624 1.289 6.426
O -2.441 -3.960 1.423
O -3.291 0.504 4.241
O -2.410 -1.445 6.137
Pb 0.000 0.000 0.000
Ce -2.926 0.628 2.006

7.
10
Lattice="-1.503 -5.312 -1.404 6.139 -1.640 -0.366 -3.124 -0.574 5.515" Properties=species:S:1:pos:R:3 comment="Rb2CeCrO6 GGA+U optimized geometry" volume_a3_per_atom=20.0 total_energy_ev_per_cell=-63.3 sg="P-3m1, No. 164" crystal_system=trigonal pbc="T T T"
Cr 0.000 0.000 0.000
Rb -0.219 -1.575 3.384
Rb 1.731 -5.951 0.361
O 0.914 -1.585 0.353
O 4.603 -2.571 0.133
O 2.726 -2.916 3.448
O -1.214 -4.610 0.298
O 0.598 -5.941 3.393
O -3.091 -4.955 3.613
Ce -0.751 -2.656 -0.702

8.
8
Lattice="3.661 0.000 0.000 0.000 5.728 0.116 0.000 -1.971 6.440" Properties=species:S:1:pos:R:3 comment="Rb2CeCrO4 GGA+U optimized geometry" volume_a3_per_atom=17.0 total_energy_ev_per_cell=-52.0 sg="P2/m, No. 10" crystal_system=monoclinic pbc="T T T"
Rb 0.000 1.878 3.278
Rb 1.831 -0.985 3.220
O 1.831 1.035 1.208
O 0.000 3.898 1.178
O 1.831 2.721 5.348
O 0.000 -0.141 5.378
Ce 1.831 2.864 0.058
Cr 0.000 0.000 0.000

9.
15
Lattice="7.178 0.139 -0.033 -3.468 6.008 -0.021 -0.125 -4.052 6.579" Properties=species:S:1:pos:R:3 comment="Rb3Ce3CrO8 GGA+U optimized geometry" volume_a3_per_atom=19.1 total_energy_ev_per_cell=-105.6 sg="C2/m, No. 12" crystal_system=monoclinic dos_ef_per_ev_atom=0.490 pbc="T T T"
O 3.576 2.214 2.264
O 1.511 2.891 4.506
O -1.846 3.096 4.249
O 2.075 -0.796 2.018
O -0.011 2.005 2.085
O 0.009 -0.119 4.261
O 3.597 0.090 4.440
O 5.432 -1.001 2.275
Ce -1.796 0.978 3.279
Ce 3.527 -1.957 3.273
Ce 1.793 1.048 3.262
Rb 1.855 3.073 -0.027
Rb -1.734 3.004 -0.011
Rb 0.000 0.000 0.000
Cr -0.062 -2.026 3.289

10.
12
Lattice="4.719 -0.038 -0.003 0.001 4.715 -0.005 0.004 0.007 6.479" Properties=species:S:1:pos:R:3 comment="CeCr2ReO8 GGA+U optimized geometry" volume_a3_per_atom=12.0 total_energy_ev_per_cell=-98.2 sg="P2/m, No. 10" crystal_system=monoclinic dos_ef_per_ev_atom=0.189 pbc="T T T"
O 3.343 3.322 6.473
O 1.381 1.362 -0.002
O 0.943 3.767 5.086
O 3.203 3.185 3.234
O 1.521 1.499 3.237
O 3.781 0.918 1.384
O 0.941 3.763 1.383
O 3.784 0.922 5.087
Cr 2.363 2.344 4.898
Cr 2.361 2.340 1.573
Ce 0.002 0.004 3.239
Re 0.000 0.000 0.000

11.
12
Lattice="-1.198 -1.918 -4.135 1.163 -4.261 1.613 -5.940 -0.825 2.104" Properties=species:S:1:pos:R:3 comment="CeCr2RhO8 GGA+U optimized geometry" volume_a3_per_atom=11.7 total_energy_ev_per_cell=-88.6 sg="P2/m, No. 10" crystal_system=monoclinic dos_ef_per_ev_atom=0.405 pbc="T T T"
Cr -1.447 -3.288 -0.755
Cr -4.528 -3.716 0.336
O -2.030 -2.602 -2.473
O -2.986 -2.407 0.226
O -3.945 -4.403 2.054
O -0.015 -1.868 -0.774
O -5.322 -3.059 -1.307
O -2.989 -4.597 -0.644
O -0.653 -3.946 0.888
O -5.960 -5.136 0.355
Rh 0.000 0.000 0.000
Ce -2.970 -0.413 1.052

12.
7
Lattice="-1.543 -1.359 -3.247 2.069 -5.526 -0.945 -4.193 -4.656 1.667" Properties=species:S:1:pos:R:3 comment="Ce2CrS2O2 GGA+U optimized geometry" volume_a3_per_atom=18.1 total_energy_ev_per_cell=-53.6 sg="C2/m, No. 12" crystal_system=monoclinic dos_ef_per_ev_atom=1.647 pbc="T T T"
Ce -2.968 -8.058 -2.041
Ce -0.700 -3.483 -0.484
S -0.359 -6.515 -1.652
S -3.310 -5.026 -0.873
O -0.949 -3.223 -2.750
O -2.720 -8.318 0.225
Cr 0.000 0.000 0.000

13.
10
Lattice="-2.068 -2.137 -2.313 2.871 -2.416 -0.334 -4.313 -6.487 9.852" Properties=species:S:1:pos:R:3 comment="CeCrS2O GGA+U optimized geometry" volume_a3_per_atom=17.8 sg="P4/nmm, No. 129" crystal_system=tetragonal dos_ef_per_ev_atom=0.978 e_above_lowest_polymorph_ev_per_fu=1.40 pbc="T T T"
Cr -1.461 -1.712 -0.180
Cr -2.450 -7.053 8.708
S 1.028 -1.821 0.764
S -4.940 -6.943 7.764
S -2.292 -2.960 1.716
S -1.620 -5.804 6.812
Ce -3.652 -5.007 4.824
Ce -0.260 -3.758 3.705
O -2.157 -3.244 4.926
O -1.755 -5.520 3.602

14.
10
Lattice="-0.352 -1.683 5.716 -0.769 -4.738 3.548 7.952 -1.201 0.165" Properties=species:S:1:pos:R:3 comment="CeCrS2O GGA+U optimized geometry" volume_a3_per_atom=17.2 sg="C2/m, No. 12" crystal_system=monoclinic dos_ef_per_ev_atom=1.077 e_above_lowest_polymorph_ev_per_fu=0.00 pbc="T T T"
Ce 5.321 -2.544 2.563
Ce 1.510 -5.078 6.865
S 1.852 -3.241 4.211
S 0.125 -0.947 1.310
S 4.979 -4.381 5.218
S 6.706 -6.675 8.118
Cr 3.976 -0.600 0.082
Cr -0.561 -3.210 4.632
O 3.249 -1.631 1.674
O 3.582 -5.991 7.754

15.
18
Lattice="5.233 0.000 0.000 -2.616 4.532 0.000 0.000 0.000 9.827" Properties=species:S:1:pos:R:3 comment="CeCrSbO6 GGA+U optimized geometry" volume_a3_per_atom=12.9 total_energy_ev_per_cell=-134.9 sg="P-31c, No. 163" crystal_system=trigonal pbc="T T T"
O 3.540 2.919 3.557
O 0.758 4.526 8.471
O -0.924 1.612 6.270
O 0.934 1.606 3.557
O -1.682 2.925 8.471
O 1.682 2.925 6.270
O 1.692 2.919 1.356
O 4.298 1.606 1.356
O 3.374 0.006 3.557
O 1.858 0.006 1.356
O -0.758 4.526 6.270
O 0.924 1.612 8.471
Sb 0.000 3.021 7.370
Sb 2.616 1.511 2.457
Cr 2.616 1.511 7.370
Cr 0.000 3.021 2.457
Ce 0.000 0.000 0.000
Ce 0.000 0.000 4.914

16.
10
Lattice="-0.388 3.656 1.245 -1.391 1.035 -3.473 -12.349 -2.717 4.135" Properties=species:S:1:pos:R:3 comment="CeCrSe2O GGA+U optimized geometry" volume_a3_per_atom=20.0 sg="P4/nmm, No. 129" crystal_system=tetragonal dos_ef_per_ev_atom=0.944 e_above_lowest_polymorph_ev_per_fu=0.00 pbc="T T T"
O -7.064 0.987 0.953
O -6.174 -1.359 2.067
Ce -5.669 -0.577 -0.071
Ce -7.569 0.205 3.092
Cr -1.428 1.557 1.036
Cr -11.810 -1.928 1.985
Se -1.857 0.262 -1.348
Se -11.381 -0.634 4.368
Se -3.833 1.027 1.841
Se -9.405 -1.399 1.179

17.
10
Lattice="-2.297 1.816 -2.606 0.380 -5.899 -1.499 -6.706 -1.571 4.817" Properties=species:S:1:pos:R:3 comment="CeCrSe2O GGA+U optimized geometry" volume_a3_per_atom=19.0 sg="C2/m, No. 12" crystal_system=monoclinic dos_ef_per_ev_atom=1.097 e_above_lowest_polymorph_ev_per_fu=0.15 pbc="T T T"
Cr -0.768 -4.991 -2.802
Cr -5.269 -4.869 -1.696
Ce -2.853 -2.104 -1.899
Ce -5.769 -3.551 2.611
O -7.699 -2.284 2.247
O -0.923 -3.371 -1.535
Se -4.970 -1.386 0.468
Se -3.652 -4.269 0.244
Se -1.452 -0.852 0.686
Se -7.171 -4.802 0.026

18.
12
Lattice="4.592 0.084 -0.003 0.131 4.589 -0.005 0.004 0.007 6.284" Properties=species:S:1:pos:R:3 comment="CeCr2SiO8 GGA+U optimized geometry" volume_a3_per_atom=11.0 total_energy_ev_per_cell=-91.6 sg="Cmmm, No. 65" crystal_system=orthorhombic dos_ef_per_ev_atom=0.445 pbc="T T T"
O 0.985 3.730 5.014
O 3.742 0.949 1.262
O 3.744 0.953 5.016
O 1.402 1.386 6.282
O 3.178 3.151 3.137
O 3.325 3.293 -0.006
O 1.549 1.528 3.139
O 0.983 3.726 1.260
Cr 2.362 2.338 1.467
Cr 2.365 2.341 4.809
Si 0.000 0.000 0.000
Ce 0.002 0.003 3.142

19.
18
Lattice="4.857 0.000 0.000 0.000 4.857 0.000 0.000 0.000 9.748" Properties=species:S:1:pos:R:3 comment="CeTaCrO6 GGA+U optimized geometry" volume_a3_per_atom=12.8 total_energy_ev_per_cell=-159.3 sg="P4_2nm, No. 102" crystal_system=tetragonal dos_ef_per_ev_atom=0.000 pbc="T T T"
O 1.452 1.452 6.694
O 1.000 3.857 7.979
O 3.429 3.429 3.106
O 3.995 0.862 4.863
O 3.405 3.405 6.694
O 0.977 3.880 1.820
O 3.880 0.977 1.820
O 3.857 1.000 7.979
O 3.290 3.290 9.737
O 0.862 3.995 4.863
O 1.428 1.428 3.106
O 1.567 1.567 9.737
Ce 0.000 0.000 9.702
Ce 2.428 2.428 4.828
Cr 2.428 2.428 1.620
Cr 0.000 0.000 6.494
Ta 2.428 2.428 8.091
Ta 0.000 0.000 3.217

20.
10
Lattice="-0.142 -3.046 -4.729 3.267 -4.373 -0.628 -2.338 -5.679 0.020" Properties=species:S:1:pos:R:3 comment="CeTaCr2O6 GGA+U optimized geometry" volume_a3_per_atom=13.2 total_energy_ev_per_cell=-86.9 sg="P1, No. 1" crystal_system=triclinic dos_ef_per_ev_atom=0.395 pbc="T T T"
Cr -2.190 -5.493 -0.026
Cr 0.599 -6.399 -2.798
O 0.137 -3.952 -2.944
O 1.236 -6.716 -4.820
O 0.476 -8.742 -2.219
O 2.419 -6.268 -1.761
O -1.296 -7.050 -3.353
O -0.546 -6.520 -0.929
Ta 0.870 -2.628 -1.715
Ce 1.140 -9.295 -4.307